1.
Tb2DySc6 | the Alexandria database | PBE-GGA | optimized geometry; crystal system = hexagonal; polymorph energy (0 for the lowest one) = 0.0162 eV/atom; SG = P-6m2 (187)
1.0
1.9898 2.4257 -1.3009
-2.9838 -0.7121 -1.4580
-10.9125 16.5844 14.2322
Tb Dy Sc
2 1 6
Direct
0.3333 0.6667 0.3277
0.3333 0.6667 0.6723
0.0000 0.0000 0.0000
0.3333 0.6667 0.8879
0.0000 0.0000 0.4385
0.0000 0.0000 0.7854
0.0000 0.0000 0.2146
0.0000 0.0000 0.5615
0.3333 0.6667 0.1121

2.
Tb3DySc | the Alexandria database | PBE-GGA | optimized geometry; crystal system = orthorhombic; polymorph energy (0 for the lowest one) = 0.1355 eV/atom; SG = Pbcm (57)
1.0
3.4876 0.0000 0.0000
0.0000 10.5200 0.0000
0.0000 0.0000 17.1654
Tb Dy Sc
12 4 4
Direct
0.7457 0.5000 0.7500
0.2543 0.0000 0.2500
0.2543 0.5000 0.2500
0.7457 0.0000 0.7500
0.2475 0.5595 0.9230
0.2475 0.4405 0.5770
0.7525 0.0595 0.0770
0.7525 0.9405 0.4230
0.2475 0.0595 0.5770
0.2475 0.9405 0.9230
0.7525 0.5595 0.4230
0.7525 0.4405 0.0770
0.7443 0.2500 0.8973
0.7443 0.7500 0.6027
0.2557 0.7500 0.1027
0.2557 0.2500 0.3973
0.7559 0.2500 0.2269
0.7559 0.7500 0.2731
0.2441 0.7500 0.7731
0.2441 0.2500 0.7269

Record-wise magnetic moment values, in μB per atom: 0.120; 0.000
Record-wise calculated volume values, in Å³/atom: 27.1; 31.5
Record-wise E_form values, in meV per atom: 82; 161